No. 1
Below is a relaxed ErFe5C2 crystal, with properties calculated at the PBE-GGA level.

Cell and atoms, written as POSCAR:
```
ErFe5C2
1.0
-1.6723 3.1894 4.1144
1.6723 -3.1894 4.1144
1.6723 3.1894 -4.1144
Er Fe C
1 5 2
Cartesian
0.0000 0.0000 0.0000
1.6723 1.9954 -1.3386
1.6723 1.9954 1.3386
0.0000 3.1894 0.0000
0.0000 1.1939 2.7758
0.0000 1.1939 5.4531
1.6723 0.0000 2.0753
0.0000 3.1894 2.0392
```

Computed properties:
D(E_F) ... 6.0 states/eV per cell
ΔE_f ... -0.006 eV per atom
Space group ... No. 71
VASP energy ... -65.37 eV per cell

***

No. 2
Below is a relaxed HfScAlRe crystal, with properties calculated at the PBE-GGA level.

Cell and atoms, written as POSCAR:
```
HfScAlRe
1.0
0.0000 3.3051 3.3051
3.3051 0.0000 3.3051
3.3051 3.3051 0.0000
Hf Sc Al Re
1 1 1 1
Cartesian
0.0000 0.0000 0.0000
3.3051 3.3051 3.3051
4.9576 4.9576 4.9576
1.6525 1.6525 1.6525
```

Computed properties:
D(E_F) ... 2.2 states/eV per cell
ΔE_f ... -0.343 eV per atom
Space group ... No. 216
VASP energy ... -33.85 eV per cell

***

Q: Which of these has the lowest D(E_F)?
A: HfScAlRe

***

Q: Look up the VASP energy of the second one.
A: -33.85 eV per cell